Entry 1:
# SiAgPt

SiAgPt at its PBEsol-relaxed geometry (meta-GGA SCAN, Alexandria via LeMat-Bulk). Values from VASP.

Values from the calculation:
Magnetic moment, Bohr magnetons per cell: 0.0
DFT total energy, eV per atom: -37.3031
Energy relative to the lowest polymorph listed for this composition, meV per atom: 0
Formation energy from raw total energies, eV/f.u.: -0.33
SG: P3m1, No. 156
Fermi-level density of states, states/eV/f.u.: 1.4

Cell and atoms, written as Quantum ESPRESSO input:
```
&SYSTEM
  ibrav = 0, nat = 3, ntyp = 3
/
ATOMIC_SPECIES
Si 28.09 Si.upf
Ag 107.87 Ag.upf
Pt 195.08 Pt.upf
ATOMIC_POSITIONS angstrom
Si 0.000 0.000 0.000
Ag 0.000 1.664 4.189
Pt 1.441 0.832 1.804
CELL_PARAMETERS angstrom
2.883 0.000 0.000
-1.441 2.496 0.000
0.000 0.000 6.330
```

***

Entry 2:
# Si4AgPt

Si4AgPt at its PBEsol-relaxed geometry (meta-GGA SCAN, Alexandria via LeMat-Bulk). Values from VASP.

Values from the calculation:
Magnetic moment, Bohr magnetons per cell: 0.0
DFT total energy, eV per atom: -22.9987
Formation energy from raw total energies, eV/f.u.: 3.63
SG: F-43m, No. 216
Fermi-level density of states, states/eV/f.u.: 3.2

Cell and atoms, written as Quantum ESPRESSO input:
```
&SYSTEM
  ibrav = 0, nat = 6, ntyp = 3
/
ATOMIC_SPECIES
Si 28.09 Si.upf
Ag 107.87 Ag.upf
Pt 195.08 Pt.upf
ATOMIC_POSITIONS angstrom
Si 0.892 0.892 0.892
Si 2.675 2.675 0.892
Si 2.675 0.892 2.675
Si 0.892 2.675 2.675
Ag 5.350 5.350 5.350
Pt 3.567 3.567 3.567
CELL_PARAMETERS angstrom
0.000 3.567 3.567
3.567 0.000 3.567
3.567 3.567 0.000
```

***

Entry 3:
# SiAgPt

SiAgPt at its PBEsol-relaxed geometry (meta-GGA SCAN, Alexandria via LeMat-Bulk). Values from VASP.

Values from the calculation:
Magnetic moment, Bohr magnetons per cell: 0.0
DFT total energy, eV per atom: -36.7376
Energy relative to the lowest polymorph listed for this composition, meV per atom: 565
Formation energy from raw total energies, eV/f.u.: 1.36
SG: F-43m, No. 216
Fermi-level density of states, states/eV/f.u.: 1.4

Cell and atoms, written as Quantum ESPRESSO input:
```
&SYSTEM
  ibrav = 0, nat = 3, ntyp = 3
/
ATOMIC_SPECIES
Si 28.09 Si.upf
Ag 107.87 Ag.upf
Pt 195.08 Pt.upf
ATOMIC_POSITIONS angstrom
Si 0.000 0.000 0.000
Ag 4.466 4.466 4.466
Pt 2.977 2.977 2.977
CELL_PARAMETERS angstrom
0.000 2.977 2.977
2.977 0.000 2.977
2.977 2.977 0.000
```

***

Entry 4:
# SrAg2Pt

SrAg2Pt at its PBEsol-relaxed geometry (meta-GGA SCAN, Alexandria via LeMat-Bulk). Values from VASP.

Values from the calculation:
Magnetic moment, Bohr magnetons per cell: 0.0
DFT total energy, eV per atom: -38.9985
Energy relative to the lowest polymorph listed for this composition, meV per atom: 0
SG: Pmm2, No. 25
Fermi-level density of states, states/eV/f.u.: 1.4
E_form, eV per atom: -0.1979

Cell and atoms, written as Quantum ESPRESSO input:
```
&SYSTEM
  ibrav = 0, nat = 4, ntyp = 3
/
ATOMIC_SPECIES
Sr 87.62 Sr.upf
Ag 107.87 Ag.upf
Pt 195.08 Pt.upf
ATOMIC_POSITIONS angstrom
Sr 0.000 0.000 0.000
Ag 0.000 0.000 3.510
Ag 1.535 1.964 2.180
Pt 1.535 1.964 4.941
CELL_PARAMETERS angstrom
3.070 0.000 0.000
0.000 3.927 0.000
0.000 0.000 6.723
```

***

Entry 5:
# SrAg2Pt

SrAg2Pt at its PBEsol-relaxed geometry (meta-GGA SCAN, Alexandria via LeMat-Bulk). Values from VASP.

Values from the calculation:
Magnetic moment, Bohr magnetons per cell: 0.0
DFT total energy, eV per atom: -38.8901
Energy relative to the lowest polymorph listed for this composition, meV per atom: 108
SG: Pmmm, No. 47
Fermi-level density of states, states/eV/f.u.: 1.0
E_form, eV per atom: -0.0895

Cell and atoms, written as Quantum ESPRESSO input:
```
&SYSTEM
  ibrav = 0, nat = 4, ntyp = 3
/
ATOMIC_SPECIES
Sr 87.62 Sr.upf
Ag 107.87 Ag.upf
Pt 195.08 Pt.upf
ATOMIC_POSITIONS angstrom
Sr 0.000 0.000 0.000
Ag 1.539 2.154 1.657
Ag 1.539 2.154 4.277
Pt 0.000 0.000 2.967
CELL_PARAMETERS angstrom
3.077 0.000 0.000
0.000 4.308 0.000
0.000 0.000 5.934
```

***

Entry 6:
# SrAgPt4

SrAgPt4 at its PBEsol-relaxed geometry (meta-GGA SCAN, Alexandria via LeMat-Bulk). Values from VASP.

Values from the calculation:
Magnetic moment, Bohr magnetons per cell: 0.0
DFT total energy, eV per atom: -56.2927
SG: F-43m, No. 216
Fermi-level density of states, states/eV/f.u.: 2.5
E_form, eV per atom: -0.5569

Cell and atoms, written as Quantum ESPRESSO input:
```
&SYSTEM
  ibrav = 0, nat = 6, ntyp = 3
/
ATOMIC_SPECIES
Sr 87.62 Sr.upf
Ag 107.87 Ag.upf
Pt 195.08 Pt.upf
ATOMIC_POSITIONS angstrom
Sr 0.000 0.000 0.000
Ag 1.889 1.889 1.889
Pt 4.721 2.836 2.836
Pt 2.836 4.721 2.836
Pt 2.836 2.836 4.721
Pt 4.721 4.721 4.721
CELL_PARAMETERS angstrom
0.000 3.779 3.779
3.779 0.000 3.779
3.779 3.779 0.000
```

***

What did the third record say?
# SiAgPt

SiAgPt at its PBEsol-relaxed geometry (meta-GGA SCAN, Alexandria via LeMat-Bulk). Values from VASP.

Values from the calculation:
Magnetic moment, Bohr magnetons per cell: 0.0
DFT total energy, eV per atom: -36.7376
Energy relative to the lowest polymorph listed for this composition, meV per atom: 565
Formation energy from raw total energies, eV/f.u.: 1.36
SG: F-43m, No. 216
Fermi-level density of states, states/eV/f.u.: 1.4

Cell and atoms, written as Quantum ESPRESSO input:
```
&SYSTEM
  ibrav = 0, nat = 3, ntyp = 3
/
ATOMIC_SPECIES
Si 28.09 Si.upf
Ag 107.87 Ag.upf
Pt 195.08 Pt.upf
ATOMIC_POSITIONS angstrom
Si 0.000 0.000 0.000
Ag 4.466 4.466 4.466
Pt 2.977 2.977 2.977
CELL_PARAMETERS angstrom
0.000 2.977 2.977
2.977 0.000 2.977
2.977 2.977 0.000
```

***

Look up the magnetic moment of the fourth one. 0.0 Bohr magnetons per cell

***

What is the formula in the first record? SiAgPt

***

Among the records above, which one has the lowest Fermi-level density of states? number 5